# Li2NiOs GGA-PBEsol optimized geometry
data_Li2NiOs
_symmetry_space_group_name_H-M 'P 1'
_symmetry_Int_Tables_number 1
_symmetry_space_group_name_Hall 'P 1'
_cell_length_a 2.500
_cell_length_b 4.222
_cell_length_c 4.652
_cell_angle_alpha 90.00
_cell_angle_beta 90.05
_cell_angle_gamma 90.00
loop_
_atom_site_label
_atom_site_type_symbol
_atom_site_fract_x
_atom_site_fract_y
_atom_site_fract_z
Li1 Li 0.625 0.500 0.196
Li2 Li 0.124 0.000 0.053
Os1 Os 0.126 0.500 0.686
Ni1 Ni 0.625 0.000 0.566
# - V (Å³ per atom) = 12.28
# - electronic total energy (eV/atom) = -5.477
# - formation enthalpy at 0 K (eV/atom) = 0.100
# - M_tot (μB per atom) = 0.000